Entry from Alexandria: a relaxed Li5AcAg7 crystal (PBE).

a b c (Å): 5.3860 7.2499 7.2499
angles (deg): 82.53 68.19 68.19
Atoms (fractional coordinates):
Li (0.4975, 0.0032, 0.4973)
Li (0.0020, 0.0032, 0.4973)
Li (0.4975, 0.4973, 0.0032)
Li (0.0020, 0.4973, 0.0032)
Li (0.7383, 0.7617, 0.7617)
Ac (0.9931, 0.0069, 0.0069)
Ag (0.6444, 0.3556, 0.3556)
Ag (0.3446, 0.6554, 0.6554)
Ag (0.9997, 0.3521, 0.6485)
Ag (0.9997, 0.6485, 0.3521)
Ag (0.2785, 0.2215, 0.2215)
Ag (0.5013, 0.7749, 0.2224)
Ag (0.5013, 0.2224, 0.7749)

E_form   -0.1712 eV per atom
D(E_F)   4.82 states/eV per cell
SG   Imm2
Energy   -35.86 eV for the cell shown

Entry from Alexandria: a relaxed Ac2La3Tl crystal (PBE).

a b c (Å): 5.1670 5.1951 8.5733
angles (deg): 107.64 90.00 90.00
Atoms (fractional coordinates):
Ac (0.0000, 0.6650, 0.3300)
Ac (0.0000, 0.3350, 0.6700)
La (0.5000, 0.1561, 0.3123)
La (0.5000, 0.5000, 0.0000)
La (0.5000, 0.8439, 0.6877)
Tl (0.0000, 0.0000, 0.0000)

Relative energy among the computed polymorphs   0.00 eV/f.u.
E_form   -0.1057 eV per atom
D(E_F)   7.83 states/eV per cell
SG   Cmmm
Energy   -26.00 eV for the cell shown

Entry from Alexandria: a relaxed Sc2CoCl crystal (PBE).

a b c (Å): 7.5003 7.5003 7.5003
angles (deg): 154.25 155.67 35.72
Atoms (fractional coordinates):
Cl (0.4500, 0.4500, 0.0000)
Co (0.1976, 0.6976, 0.5000)
Sc (0.0709, 0.0709, 0.0000)
Sc (0.7816, 0.2816, 0.5000)

Relative energy among the computed polymorphs   0.55 eV/f.u.
D(E_F)   3.97 states/eV per cell
SG   Imm2
Energy   -24.22 eV for the cell shown

Entry from Alexandria: a relaxed Sm12Tm3Sc5 crystal (PBE).

a b c (Å): 15.9894 15.9894 15.9894
angles (deg): 109.47 109.47 109.47
Atoms (fractional coordinates):
Tm (0.7500, 0.3750, 0.1250)
Tm (0.8750, 0.7500, 0.1250)
Tm (0.3750, 0.7500, 0.6250)
Tm (0.2500, 0.1250, 0.3750)
Tm (0.8750, 0.1250, 0.2500)
Tm (0.3750, 0.6250, 0.2500)
Tm (0.6250, 0.3750, 0.7500)
Tm (0.1250, 0.8750, 0.7500)
Tm (0.7500, 0.8750, 0.6250)
Tm (0.6250, 0.2500, 0.3750)
Tm (0.1250, 0.2500, 0.8750)
Tm (0.2500, 0.6250, 0.8750)
Sc (0.1250, 0.3750, 0.2500)
Sc (0.0000, 0.5000, 0.0000)
Sc (0.0000, 0.0000, 0.0000)
Sc (0.3750, 0.2500, 0.1250)
Sc (0.5000, 0.0000, 0.5000)
Sc (0.5000, 0.5000, 0.0000)
Sc (0.1250, 0.7500, 0.3750)
Sc (0.7500, 0.1250, 0.8750)
Sc (0.7500, 0.6250, 0.3750)
Sc (0.3750, 0.1250, 0.7500)
Sc (0.6250, 0.8750, 0.2500)
Sc (0.5000, 0.5000, 0.5000)
Sc (0.5000, 0.0000, 0.0000)
Sc (0.0000, 0.0000, 0.5000)
Sc (0.2500, 0.3750, 0.6250)
Sc (0.2500, 0.8750, 0.1250)
Sc (0.0000, 0.5000, 0.5000)
Sc (0.8750, 0.2500, 0.6250)
Sc (0.6250, 0.7500, 0.8750)
Sc (0.8750, 0.6250, 0.7500)
Sm (0.7229, 0.1308, 0.0645)
Sm (0.3416, 0.5645, 0.4337)
Sm (0.9355, 0.3692, 0.2771)
Sm (0.5645, 0.2229, 0.1308)
Sm (0.5920, 0.7229, 0.6584)
Sm (0.9355, 0.5663, 0.1584)
Sm (0.3416, 0.7771, 0.4080)
Sm (0.0663, 0.9080, 0.1308)
Sm (0.5663, 0.9355, 0.6584)
Sm (0.7229, 0.5920, 0.1584)
Sm (0.7771, 0.4355, 0.3692)
Sm (0.8416, 0.9337, 0.0645)
Sm (0.1308, 0.7229, 0.5645)
Sm (0.3692, 0.4337, 0.0920)
Sm (0.0920, 0.9337, 0.3692)
Sm (0.4080, 0.1308, 0.5663)
Sm (0.0920, 0.1584, 0.2229)
Sm (0.4355, 0.6584, 0.0663)
Sm (0.8416, 0.9080, 0.2771)
Sm (0.1308, 0.4080, 0.0663)
Sm (0.3692, 0.9355, 0.7771)
Sm (0.5663, 0.6308, 0.4080)
Sm (0.9337, 0.8416, 0.5645)
Sm (0.7771, 0.3416, 0.9080)
Sm (0.4337, 0.3692, 0.5920)
Sm (0.0663, 0.1584, 0.4355)
Sm (0.2229, 0.6584, 0.0920)
Sm (0.1584, 0.0920, 0.7229)
Sm (0.6308, 0.0645, 0.2229)
Sm (0.8692, 0.5920, 0.9337)
Sm (0.5645, 0.3416, 0.9337)
Sm (0.5920, 0.8692, 0.4337)
Sm (0.9080, 0.8416, 0.7771)
Sm (0.9080, 0.0663, 0.6308)
Sm (0.8692, 0.2771, 0.4355)
Sm (0.1584, 0.0663, 0.9355)
Sm (0.6308, 0.5663, 0.9080)
Sm (0.4337, 0.0645, 0.3416)
Sm (0.2771, 0.4080, 0.8416)
Sm (0.2229, 0.5645, 0.6308)
Sm (0.9337, 0.0920, 0.8692)
Sm (0.6584, 0.2229, 0.5920)
Sm (0.4355, 0.7771, 0.8692)
Sm (0.0645, 0.4337, 0.8416)
Sm (0.4080, 0.2771, 0.3416)
Sm (0.0645, 0.6308, 0.7229)
Sm (0.6584, 0.4355, 0.5663)
Sm (0.2771, 0.8692, 0.9355)

E_form   1.0246 eV per atom
D(E_F)   153.76 states/eV per cell
SG   Ia-3d
Energy   -324.84 eV for the cell shown

Entry from Alexandria: a relaxed CuCSeBr2 crystal (PBE).

a b c (Å): 4.9236 4.9236 4.9146
angles (deg): 90.00 90.00 90.00
Atoms (fractional coordinates):
C (0.5000, 0.5000, 0.5000)
Cu (0.0000, 0.0000, 0.0000)
Se (0.0000, 0.0000, 0.5000)
Br (0.0000, 0.5000, 0.0000)
Br (0.5000, 0.0000, 0.0000)

Relative energy among the computed polymorphs   1.61 eV/f.u.
D(E_F)   4.62 states/eV per cell
SG   P4/mmm
Energy   -12.29 eV for the cell shown

Entry from Alexandria: a relaxed LaTe2Mo crystal (PBE).

a b c (Å): 7.5568 7.5568 7.5568
angles (deg): 151.65 148.82 42.64
Atoms (fractional coordinates):
La (0.4508, 0.4508, 0.0000)
Mo (0.2092, 0.7092, 0.5000)
Te (0.0633, 0.0633, 0.0000)
Te (0.7767, 0.2767, 0.5000)

Relative energy among the computed polymorphs   0.45 eV/f.u.
D(E_F)   2.86 states/eV per cell
SG   Imm2
Energy   -23.64 eV for the cell shown

Which of these has the highest D(E_F)?
Sm12Tm3Sc5